Entry 1:
A PBEsol-optimized structure of ScInCu2, computed with meta-GGA SCAN.

Output
For the calculated density, the calculation gives 7.310 Mg/m³. Its energy is -19.70 eV per atom. The total moment is 0.00 μB/cell. Its formation energy is -0.192 eV/atom.

a = 3.135 Å, b = 3.135 Å, c = 6.632 Å
α = 90.00°, β = 90.00°, γ = 90.00°
Positions (direct):
Cu  0.000  0.000  0.035
Cu  0.500  0.500  0.216
In  0.000  0.000  0.461
Sc  0.500  0.500  0.788

=====

Entry 2:
A PBEsol-optimized structure of LiCa2Au, computed with meta-GGA SCAN.

Output
For the calculated density, the calculation gives 4.805 Mg/m³. Its energy is -23.20 eV per atom. The total moment is 0.00 μB/cell. Its formation energy is -0.485 eV/atom.

a = 3.800 Å, b = 5.083 Å, c = 5.083 Å
α = 90.00°, β = 90.00°, γ = 90.00°
Positions (direct):
Ca  0.000  0.000  0.500
Ca  0.000  0.500  0.000
Au  0.500  0.000  0.000
Li  0.500  0.500  0.500

=====

Entry 3:
A PBEsol-optimized structure of ScInSCl2, computed with meta-GGA SCAN.

Output
The uncorrected formation energy is -572 meV/atom. For the calculated density, the calculation gives 3.389 Mg/m³. Its energy is -15.21 eV per atom. The total moment is 1.41 μB/cell.

a = 5.049 Å, b = 5.049 Å, c = 5.051 Å
α = 90.00°, β = 90.00°, γ = 90.00°
Site moments in Bohr magnetons follow the coordinates.
Positions (direct):
Sc  0.500  0.500  0.500  1.09
S  0.000  0.000  0.500  -0.02
Cl  0.000  0.500  0.000  0.01
Cl  0.500  0.000  0.000  0.01
In  0.000  0.000  0.000  0.01

=====

Entry 4:
A PBEsol-optimized structure of CrP2H13N2O10, computed with meta-GGA SCAN.

Output
For the calculated density, the calculation gives 2.112 Mg/m³. Its energy is -7.28 eV per atom. The total moment is 6.00 μB/cell.

a = 6.993 Å, b = 8.197 Å, c = 9.480 Å
α = 104.68°, β = 99.38°, γ = 103.97°
Site moments in Bohr magnetons follow the coordinates.
Positions (direct):
Cr  0.238  0.814  0.699  2.86
Cr  0.762  0.186  0.301  2.86
P  0.207  0.459  0.783  0.00
P  0.793  0.541  0.217  0.00
P  0.603  0.677  0.788  0.00
P  0.397  0.323  0.212  0.00
H  0.222  0.406  0.013  0.00
H  0.778  0.594  0.987  0.00
H  0.513  0.115  0.742  0.00
H  0.487  0.885  0.258  0.00
H  0.278  0.136  0.701  0.00
H  0.722  0.864  0.299  0.00
H  0.956  0.797  0.475  0.00
H  0.044  0.203  0.525  0.00
H  0.853  0.758  0.613  0.00
H  0.147  0.242  0.387  0.00
H  0.326  0.793  0.437  0.00
H  0.674  0.207  0.563  0.00
H  0.436  0.670  0.517  0.00
H  0.564  0.330  0.483  0.00
H  0.191  0.594  0.432  0.00
H  0.809  0.406  0.568  0.00
H  0.268  0.922  0.988  0.00
H  0.732  0.078  0.012  0.00
H  0.024  0.839  0.902  0.00
H  0.976  0.161  0.098  0.00
H  0.156  0.045  0.914  0.00
H  0.844  0.955  0.086  0.00
H  0.869  0.208  0.779  0.00
H  0.131  0.792  0.221  0.00
H  0.773  0.310  0.905  0.00
H  0.227  0.690  0.095  0.00
N  0.304  0.706  0.499  -0.02
N  0.696  0.294  0.501  -0.02
N  0.162  0.917  0.896  -0.03
N  0.838  0.083  0.104  -0.03
O  0.114  0.572  0.704  0.01
O  0.886  0.428  0.296  0.01
O  0.106  0.261  0.710  0.00
O  0.894  0.739  0.290  0.00
O  0.211  0.513  0.952  0.00
O  0.789  0.487  0.048  0.00
O  0.439  0.488  0.768  0.00
O  0.561  0.512  0.232  0.00
O  0.493  0.818  0.822  0.01
O  0.507  0.182  0.178  0.01
O  0.670  0.655  0.643  0.00
O  0.330  0.345  0.357  0.00
O  0.773  0.708  0.926  0.00
O  0.227  0.292  0.074  0.00
O  0.364  0.054  0.688  0.00
O  0.636  0.946  0.312  0.00
O  0.982  0.827  0.588  0.00
O  0.018  0.173  0.412  0.00
O  0.745  0.200  0.819  0.00
O  0.255  0.800  0.181  0.00

=====

Entry 5:
A PBEsol-optimized structure of MnV4O12, computed with meta-GGA SCAN.

Output
The uncorrected formation energy is -2356 meV/atom. For the calculated density, the calculation gives 3.275 Mg/m³. Its energy is -11.94 eV per atom. The total moment is 2.98 μB/cell.

a = 5.893 Å, b = 6.454 Å, c = 6.454 Å
α = 99.65°, β = 104.55°, γ = 75.45°
Site moments in Bohr magnetons follow the coordinates.
Positions (direct):
Mn  0.500  0.071  0.071  2.63
V  0.988  0.815  0.363  0.02
V  0.012  0.363  0.815  0.02
V  0.517  0.613  0.214  0.03
V  0.483  0.214  0.613  0.03
O  0.827  0.974  0.164  0.04
O  0.173  0.164  0.974  0.04
O  0.995  0.974  0.583  0.01
O  0.005  0.583  0.974  0.01
O  0.456  0.785  0.028  0.01
O  0.544  0.028  0.785  0.01
O  0.799  0.639  0.372  0.00
O  0.201  0.372  0.639  0.00
O  0.301  0.687  0.368  0.00
O  0.699  0.368  0.687  0.00
O  0.538  0.355  0.098  0.02
O  0.462  0.098  0.355  0.02

=====

Entry 6:
A PBEsol-optimized structure of Be4AlNi, computed with meta-GGA SCAN.

Output
For the calculated density, the calculation gives 3.763 Mg/m³. Its energy is -7.21 eV per atom. The total moment is 0.07 μB/cell. Its formation energy is -0.319 eV/atom.

a = 4.235 Å, b = 4.235 Å, c = 4.235 Å
α = 60.00°, β = 60.00°, γ = 60.00°
Positions (direct):
Ni  0.000  0.000  0.000
Al  0.750  0.750  0.750
Be  0.878  0.374  0.374
Be  0.374  0.374  0.374
Be  0.374  0.878  0.374
Be  0.374  0.374  0.878

=====

Entry 7:
A PBEsol-optimized structure of MgSbPb2, computed with meta-GGA SCAN.

Output
The uncorrected formation energy is -39 meV/atom. For the calculated density, the calculation gives 8.579 Mg/m³. Its energy is -48.49 eV per atom. For the excess energy over the best structure of this formula in the dataset, the calculation gives 0 meV per atom. The total moment is 0.00 μB/cell.

a = 3.915 Å, b = 3.915 Å, c = 7.079 Å
α = 90.00°, β = 90.00°, γ = 90.00°
Positions (direct):
Pb  0.000  0.000  0.975
Pb  0.500  0.500  0.272
Sb  0.000  0.000  0.527
Mg  0.500  0.500  0.727

=====

Entry 8:
A PBEsol-optimized structure of MgTl3Cl, computed with meta-GGA SCAN.

Output
The uncorrected formation energy is -98 meV/atom. For the calculated density, the calculation gives 6.772 Mg/m³. Its energy is -46.10 eV per atom. The total moment is 0.00 μB/cell.

a = 5.485 Å, b = 5.485 Å, c = 5.485 Å
α = 90.00°, β = 90.00°, γ = 90.00°
Positions (direct):
Tl  0.000  0.500  0.000
Tl  0.000  0.000  0.500
Tl  0.500  0.000  0.000
Mg  0.000  0.000  0.000
Cl  0.500  0.500  0.500

=====

Entry 9:
A PBEsol-optimized structure of CrOs3, computed with meta-GGA SCAN.

Output
For the calculated density, the calculation gives 19.325 Mg/m³. Its energy is -58.53 eV per atom. The total moment is 0.01 μB/cell. Its formation energy is -0.020 eV/atom.

a = 2.699 Å, b = 4.657 Å, c = 5.036 Å
α = 117.54°, β = 105.55°, γ = 90.00°
Positions (direct):
Cr  0.000  0.002  0.000
Os  0.252  0.586  0.504
Os  0.500  0.497  0.000
Os  0.748  0.081  0.496

=====

Entry 10:
A PBEsol-optimized structure of K2BeP, computed with meta-GGA SCAN.

Output
For the calculated density, the calculation gives 1.934 Mg/m³. Its energy is -7.29 eV per atom. For the excess energy over the best structure of this formula in the dataset, the calculation gives 0 meV per atom. The total moment is 0.00 μB/cell. Its formation energy is 0.563 eV/atom.

a = 3.082 Å, b = 5.739 Å, c = 5.739 Å
α = 91.07°, β = 90.00°, γ = 90.00°
Positions (direct):
P  0.500  0.000  0.000
K  0.000  0.000  0.500
K  0.000  0.500  0.000
Be  0.500  0.500  0.500

=====

Entry 11:
A PBEsol-optimized structure of CrIr2, computed with meta-GGA SCAN.

Output
For the calculated density, the calculation gives 18.353 Mg/m³. Its energy is -53.72 eV per atom. The total moment is 0.00 μB/cell. Its formation energy is -0.196 eV/atom.

a = 2.685 Å, b = 7.138 Å, c = 7.138 Å
α = 120.00°, β = 90.00°, γ = 90.00°
Positions (direct):
Cr  0.500  0.000  0.000
Cr  0.000  0.667  0.333
Cr  0.000  0.333  0.667
Ir  0.000  0.000  0.299
Ir  0.500  0.000  0.638
Ir  0.000  0.701  0.701
Ir  0.000  0.299  0.000
Ir  0.500  0.362  0.362
Ir  0.500  0.638  0.000

=====

Entry 12:
A PBEsol-optimized structure of Al2WAu, computed with meta-GGA SCAN.

Output
For the calculated density, the calculation gives 11.997 Mg/m³. Its energy is -38.82 eV per atom. For the excess energy over the best structure of this formula in the dataset, the calculation gives 0 meV per atom. The total moment is 0.00 μB/cell. Its formation energy is -0.228 eV/atom.

a = 3.407 Å, b = 4.203 Å, c = 4.203 Å
α = 90.00°, β = 90.00°, γ = 90.00°
Positions (direct):
Au  0.500  0.500  0.500
Al  0.000  0.000  0.500
Al  0.000  0.500  0.000
W  0.500  0.000  0.000

=====

Entry 13:
A PBEsol-optimized structure of La2InOs, computed with meta-GGA SCAN.

Output
For the calculated density, the calculation gives 10.816 Mg/m³. Its energy is -47.99 eV per atom. The total moment is 0.00 μB/cell. Its formation energy is -0.121 eV/atom.

a = 5.021 Å, b = 5.021 Å, c = 5.021 Å
α = 60.00°, β = 60.00°, γ = 60.00°
Positions (direct):
In  0.500  0.500  0.500
La  0.000  0.000  0.000
La  0.750  0.750  0.750
Os  0.250  0.250  0.250

=====

Entry 14:
A PBEsol-optimized structure of PC3Se, computed with meta-GGA SCAN.

Output
The uncorrected formation energy is 3199 meV/atom. For the calculated density, the calculation gives 4.336 Mg/m³. Its energy is -8.96 eV per atom. The total moment is 0.02 μB/cell.

a = 3.824 Å, b = 3.824 Å, c = 3.824 Å
α = 90.00°, β = 90.00°, γ = 90.00°
Positions (direct):
P  0.500  0.500  0.500
C  0.000  0.500  0.000
C  0.000  0.000  0.500
C  0.500  0.000  0.000
Se  0.000  0.000  0.000

=====

Entry 15:
A PBEsol-optimized structure of TaNi4Ag, computed with meta-GGA SCAN.

Output
For the calculated density, the calculation gives 11.884 Mg/m³. Its energy is -27.23 eV per atom. The total moment is 0.00 μB/cell. Its formation energy is -0.122 eV/atom.

a = 4.695 Å, b = 4.695 Å, c = 4.695 Å
α = 60.00°, β = 60.00°, γ = 60.00°
Positions (direct):
Ag  0.000  0.000  0.000
Ni  0.625  0.625  0.125
Ni  0.125  0.625  0.625
Ni  0.625  0.125  0.625
Ni  0.625  0.625  0.625
Ta  0.250  0.250  0.250

=====

Entry 16:
A PBEsol-optimized structure of MgH12SeO9, computed with meta-GGA SCAN.

Output
For the calculated density, the calculation gives 2.218 Mg/m³. Its energy is -6.57 eV per atom. The total moment is 0.00 μB/cell.

a = 5.862 Å, b = 5.862 Å, c = 5.862 Å
α = 98.40°, β = 98.40°, γ = 98.40°
Positions (direct):
H  0.532  0.956  0.026
H  0.026  0.532  0.956
H  0.956  0.026  0.532
H  0.627  0.738  0.136
H  0.136  0.627  0.738
H  0.738  0.136  0.627
H  0.427  0.284  0.090
H  0.090  0.427  0.284
H  0.284  0.090  0.427
H  0.388  0.189  0.817
H  0.817  0.388  0.189
H  0.189  0.817  0.388
Mg  0.999  0.999  0.999
O  0.590  0.500  0.257
O  0.257  0.590  0.500
O  0.500  0.257  0.590
O  0.668  0.871  0.051
O  0.051  0.668  0.871
O  0.871  0.051  0.668
O  0.345  0.143  0.967
O  0.967  0.345  0.143
O  0.143  0.967  0.345
Se  0.544  0.544  0.544

=====

Entry 17:
A PBEsol-optimized structure of Sc2TaRh, computed with meta-GGA SCAN.

Output
For the calculated density, the calculation gives 8.584 Mg/m³. Its energy is -32.47 eV per atom. For the excess energy over the best structure of this formula in the dataset, the calculation gives 8 meV per atom. The total moment is 0.00 μB/cell. Its formation energy is -0.259 eV/atom.

a = 3.003 Å, b = 4.463 Å, c = 5.559 Å
α = 90.00°, β = 103.93°, γ = 90.00°
Positions (direct):
Rh  0.270  0.500  0.740
Sc  0.040  0.000  0.977
Sc  0.763  0.500  0.266
Ta  0.428  0.000  0.517

=====

Entry 18:
A PBEsol-optimized structure of ZrSn2PtS, computed with meta-GGA SCAN.

Output
The uncorrected formation energy is 392 meV/atom. For the calculated density, the calculation gives 7.594 Mg/m³. Its energy is -36.08 eV per atom. The total moment is 0.00 μB/cell.

a = 4.457 Å, b = 5.222 Å, c = 5.222 Å
α = 90.00°, β = 90.00°, γ = 90.00°
Positions (direct):
Zr  0.500  0.500  0.500
S  0.500  0.000  0.000
Sn  0.000  0.000  0.500
Sn  0.000  0.500  0.000
Pt  0.000  0.000  0.000

=====

Entry 19:
A PBEsol-optimized structure of BiSbCl2, computed with meta-GGA SCAN.

Output
The uncorrected formation energy is -349 meV/atom. For the calculated density, the calculation gives 6.603 Mg/m³. Its energy is -33.30 eV per atom. The total moment is 0.00 μB/cell.

a = 3.407 Å, b = 3.407 Å, c = 10.239 Å
α = 80.42°, β = 80.42°, γ = 60.00°
Positions (direct):
Sb  0.000  0.000  0.000
Bi  0.500  0.500  0.500
Cl  0.913  0.913  0.262
Cl  0.087  0.087  0.738

=====

Entry 20:
A PBEsol-optimized structure of HfAlSb2Cl, computed with meta-GGA SCAN.

Output
The uncorrected formation energy is 798 meV/atom. For the calculated density, the calculation gives 6.725 Mg/m³. Its energy is -29.79 eV per atom. The total moment is 0.00 μB/cell.

a = 4.478 Å, b = 5.168 Å, c = 5.168 Å
α = 90.00°, β = 90.00°, γ = 90.00°
Positions (direct):
Sb  0.000  0.000  0.500
Sb  0.000  0.500  0.000
Hf  0.500  0.500  0.500
Al  0.500  0.000  0.000
Cl  0.000  0.000  0.000

=====

Entry 21:
A PBEsol-optimized structure of Rb2ReGeW, computed with meta-GGA SCAN.

Output
For the calculated density, the calculation gives 5.262 Mg/m³. Its energy is -38.30 eV per atom. The total moment is 1.15 μB/cell. Its formation energy is 1.972 eV/atom.

a = 4.606 Å, b = 6.484 Å, c = 6.484 Å
α = 90.00°, β = 90.00°, γ = 90.00°
Site moments in Bohr magnetons follow the coordinates.
Positions (direct):
Re  0.000  0.000  0.000  1.39
Ge  0.500  0.500  0.500  0.48
Rb  0.000  0.000  0.500  0.02
Rb  0.000  0.500  0.000  0.02
W  0.500  0.000  0.000  -1.46

=====

Entry 22:
A PBEsol-optimized structure of Mg2ZrBeP, computed with meta-GGA SCAN.

Output
For the calculated density, the calculation gives 3.040 Mg/m³. Its energy is -10.67 eV per atom. The total moment is 0.00 μB/cell. Its formation energy is 0.410 eV/atom.

a = 3.969 Å, b = 4.974 Å, c = 4.974 Å
α = 90.00°, β = 90.00°, γ = 90.00°
Positions (direct):
P  0.000  0.000  0.000
Mg  0.000  0.000  0.500
Mg  0.000  0.500  0.000
Zr  0.500  0.500  0.500
Be  0.500  0.000  0.000

=====

Entry 23:
A PBEsol-optimized structure of LaRuPt2, computed with meta-GGA SCAN.

Output
For the calculated density, the calculation gives 14.784 Mg/m³. Its energy is -54.88 eV per atom. The total moment is 0.00 μB/cell. Its formation energy is -0.305 eV/atom.

a = 4.110 Å, b = 4.099 Å, c = 5.106 Å
α = 113.67°, β = 113.73°, γ = 90.00°
Positions (direct):
La  0.000  0.500  0.000
Pt  0.250  0.250  0.501
Pt  0.750  0.750  0.499
Ru  0.500  0.000  0.000

=====

Entry 24:
A PBEsol-optimized structure of Fe2NiRh, computed with meta-GGA SCAN.

Output
For the calculated density, the calculation gives 9.681 Mg/m³. Its energy is -21.68 eV per atom. The total moment is 6.94 μB/cell. Its formation energy is -0.126 eV/atom.

a = 2.579 Å, b = 4.377 Å, c = 4.377 Å
α = 108.44°, β = 90.00°, γ = 90.00°
Site moments in Bohr magnetons follow the coordinates.
Positions (direct):
Ni  0.500  0.000  0.000  0.85
Rh  0.500  0.500  0.500  0.41
Fe  0.000  0.500  0.000  2.98
Fe  0.000  0.000  0.500  2.98